This record from the Alexandria database describes a relaxed MgRe2TcHg crystal. The functional is PBE.

Output
Energy of formation from the pure elements, eV/f.u.: 7.780

a = 4.681 Å, b = 4.681 Å, c = 4.936 Å
α = 90.00°, β = 90.00°, γ = 90.00°
Fractional coordinates of all 5 atoms:
Mg1 0.000 0.000 0.000
Re1 0.000 0.500 0.500
Re2 0.500 0.000 0.500
Tc1 0.000 0.000 0.500
Hg1 0.500 0.500 0.000